Computed, not measured: a relaxed structure of In6I5 at the PBE-GGA level of DFT.

Calculated values
Its crystal system is monoclinic. Its space group is C2/m, No. 12. As for the formation energy from raw total energies: -0.31 eV/atom. The total energy is -2.51 eV per atom. For the energy above the most stable polymorph in this dataset, the calculation gives 0.000 eV/atom.

Lattice parameters (Å, degrees): 8.350 8.350 8.042 101.13 101.13 123.79
Positions (direct):
In: 0.041 0.326 0.211
In: 0.189 0.189 0.704
In: 0.326 0.041 0.211
In: 0.674 0.959 0.789
In: 0.811 0.811 0.296
In: 0.959 0.674 0.789
I: 0.216 0.784 0.500
I: 0.354 0.646 0.000
I: 0.500 0.500 0.500
I: 0.646 0.354 0.000
I: 0.784 0.216 0.500


Computed, not measured: a relaxed structure of InI at the PBE-GGA level of DFT.

Calculated values
Its crystal system is cubic. Its space group is I-43m, No. 217. As for the formation energy from raw total energies: -0.33 eV/atom. The total energy is -2.48 eV per atom.

Lattice parameters (Å, degrees): 8.830 8.830 8.830 109.47 109.47 109.47
Positions (direct):
In: 0.000 0.000 0.749
In: 0.000 0.749 0.000
In: 0.251 0.251 0.251
In: 0.749 0.000 0.000
I: 0.000 0.000 0.401
I: 0.000 0.401 0.000
I: 0.401 0.000 0.000
I: 0.599 0.599 0.599